Pr6As2PtS3 | Alexandria | PBE-GGA | relaxed; energy = -6.378 eV/atom; D(E_F) = 0.510 states/eV/atom; total magnetic moment = 0.00 μB per cell; space-group type = C2/m, No. 12; formation energy without anion corrections = -1.68 eV/atom
1.0
4.191 0.000 0.000
0.000 8.438 0.315
-2.096 -2.421 8.851
Pr As S Pt
6 2 3 1
Cartesian
0.000 1.891 6.029
2.096 -0.112 3.000
0.000 6.129 6.166
2.096 -0.309 8.912
0.000 6.326 0.254
2.096 4.126 3.136
2.096 4.007 6.120
0.000 2.010 3.046
2.096 4.219 0.157
2.096 -0.206 5.922
0.000 6.223 3.244
2.096 0.000 0.000

---

Pr3SbAs2Pt9 | Alexandria | PBE-GGA | relaxed; energy = -6.103 eV/atom; D(E_F) = 0.449 states/eV/atom; total magnetic moment = 0.00 μB per cell; space-group type = P-3m1, No. 164; formation energy without anion corrections = -0.63 eV/atom
1.0
5.803 0.000 0.000
-2.901 5.026 0.000
0.000 0.000 11.529
Pt Pr As Sb
9 3 2 1
Cartesian
1.451 2.513 0.000
0.000 1.697 3.719
-1.451 2.513 0.000
-1.432 4.177 3.719
2.901 3.329 7.810
1.469 0.848 7.810
4.334 0.848 7.810
2.901 0.000 0.000
1.432 4.177 3.719
0.000 0.000 0.000
2.901 1.675 4.799
0.000 3.350 6.730
2.901 1.675 9.669
0.000 3.350 1.860
0.000 0.000 5.765

---

Pr2SbAs3Pt4 | Alexandria | PBE-GGA | relaxed; energy = -6.020 eV/atom; D(E_F) = 0.296 states/eV/atom; total magnetic moment = 0.00 μB per cell; space-group type = P-4m2, No. 115; formation energy without anion corrections = -0.84 eV/atom
1.0
-3.396 2.869 0.800
-1.406 -2.613 3.405
5.933 5.223 6.457
Pr Pt As Sb
2 4 3 1
Cartesian
-0.292 2.672 1.930
3.824 2.679 6.630
-2.401 0.128 2.102
1.465 0.602 4.063
0.000 0.000 0.000
2.066 4.748 4.497
0.036 -0.656 2.507
3.496 6.006 6.052
2.966 2.611 3.229
0.565 2.739 5.331

---

Pr6AsPt2Se3 | Alexandria | PBE-GGA | relaxed; energy = -6.165 eV/atom; D(E_F) = 0.705 states/eV/atom; total magnetic moment = 0.00 μB per cell; space-group type = C2/m, No. 12; formation energy without anion corrections = -1.51 eV/atom
1.0
4.213 0.000 0.000
0.000 8.714 0.164
-2.107 -2.662 9.089
Pr As Se Pt
6 1 3 2
Cartesian
2.107 -0.020 3.037
0.000 1.926 6.076
0.000 6.072 6.216
2.107 3.922 9.156
0.000 2.129 0.097
2.107 4.126 3.177
2.107 0.000 0.000
2.107 -0.390 6.152
2.107 4.357 0.082
0.000 6.442 3.102
2.107 4.000 6.152
0.000 2.052 3.102

---

energy of number 4 (Pr6AsPt2Se3)?
-6.165 eV/atom

---

Which of these has the highest formation energy without anion corrections?
Pr3SbAs2Pt9